No. 1
{
  "formula": "SiHgCl4",
  "functional": "meta-GGA SCAN",
  "state": "single point on PBEsol structure",
  "space_group": "F-43m",
  "magmom_total_mub_per_fu": 2.00,
  "e_form_raw_ev_per_atom": 0.66,
  "final_energy_ev_per_cell": -106.16,
  "lattice": [[0.0000, 4.0535, 4.0535], [4.0535, 0.0000, 4.0535], [4.0535, 4.0535, 0.0000]],
  "species": ["Si", "Hg", "Cl", "Cl", "Cl", "Cl"],
  "fractional_positions": [[0.0000, 0.0000, 0.0000], [0.7500, 0.7500, 0.7500], [0.3746, 0.3746, 0.3746], [0.3746, 0.3746, 0.8761], [0.3746, 0.8761, 0.3746], [0.8761, 0.3746, 0.3746]]
}

No. 2
{
  "formula": "HRuS3",
  "functional": "meta-GGA SCAN",
  "state": "single point on PBEsol structure",
  "space_group": "Pm-3m",
  "magmom_total_mub_per_fu": 3.14,
  "final_energy_ev_per_cell": -62.67,
  "lattice": [[4.5433, 0.0000, 0.0000], [0.0000, 4.5433, 0.0000], [0.0000, 0.0000, 4.5433]],
  "species": ["H", "Ru", "S", "S", "S"],
  "fractional_positions": [[0.0000, 0.0000, 0.0000], [0.5000, 0.5000, 0.5000], [0.0000, 0.5000, 0.5000], [0.5000, 0.0000, 0.5000], [0.5000, 0.5000, 0.0000]]
}

No. 3
{
  "formula": "LiAgF4",
  "functional": "meta-GGA SCAN",
  "state": "single point on PBEsol structure",
  "space_group": "P2_1/m",
  "relative_energy_mev_per_atom": 115,
  "magmom_total_mub_per_fu": 0.00,
  "e_form_raw_ev_per_atom": -1.74,
  "final_energy_ev_per_cell": -233.36,
  "lattice": [[5.3711, 0.0000, 0.0000], [0.0000, 7.8317, 0.0000], [-2.4847, 0.0000, 7.3587]],
  "species": ["Li", "Li", "Li", "Li", "Ag", "Ag", "Ag", "Ag", "F", "F", "F", "F", "F", "F", "F", "F", "F", "F", "F", "F", "F", "F", "F", "F"],
  "fractional_positions": [[0.0656, 0.2500, 0.1953], [0.0687, 0.2500, 0.5923], [0.9313, 0.7500, 0.4077], [0.9344, 0.7500, 0.8047], [0.5000, 0.0000, 0.0000], [0.5000, 0.0000, 0.5000], [0.5000, 0.5000, 0.0000], [0.5000, 0.5000, 0.5000], [0.1396, 0.0915, 0.4103], [0.1396, 0.4085, 0.4103], [0.2383, 0.0687, 0.1047], [0.2383, 0.4313, 0.1047], [0.3001, 0.0782, 0.7602], [0.3001, 0.4218, 0.7602], [0.3073, 0.7500, 0.9313], [0.3487, 0.7500, 0.4771], [0.6513, 0.2500, 0.5229], [0.6927, 0.2500, 0.0687], [0.6999, 0.5782, 0.2398], [0.6999, 0.9218, 0.2398], [0.7617, 0.5687, 0.8953], [0.7617, 0.9313, 0.8953], [0.8604, 0.5915, 0.5897], [0.8604, 0.9085, 0.5897]]
}

No. 4
{
  "formula": "InPbCl2",
  "functional": "meta-GGA SCAN",
  "state": "single point on PBEsol structure",
  "space_group": "Pm",
  "relative_energy_mev_per_atom": 0,
  "magmom_total_mub_per_fu": 0.00,
  "e_form_raw_ev_per_atom": -0.76,
  "final_energy_ev_per_cell": -128.17,
  "lattice": [[3.3835, 0.0000, 0.0000], [0.0000, 5.7142, 0.0000], [-0.0184, 0.0000, 5.7186]],
  "species": ["In", "Pb", "Cl", "Cl"],
  "fractional_positions": [[0.0000, 0.0000, 0.0000], [0.5247, 0.5000, 0.5044], [0.5530, 0.0000, 0.4870], [0.5545, 0.5000, 0.0047]]
}

No. 5
{
  "formula": "K2LaPCO7",
  "functional": "meta-GGA SCAN",
  "state": "single point on PBEsol structure",
  "space_group": "P2_1/m",
  "magmom_total_mub_per_fu": 0.07,
  "e_form_raw_ev_per_atom": -2.59,
  "final_energy_ev_per_cell": -309.99,
  "lattice": [[5.4892, 0.0000, 0.0000], [0.0000, 7.3481, 0.0000], [-0.1839, 0.0000, 10.1112]],
  "species": ["K", "K", "K", "K", "La", "La", "P", "P", "C", "C", "O", "O", "O", "O", "O", "O", "O", "O", "O", "O", "O", "O", "O", "O"],
  "fractional_positions": [[0.2395, 0.0181, 0.2951], [0.2395, 0.4819, 0.2951], [0.7605, 0.5181, 0.7049], [0.7605, 0.9819, 0.7049], [0.2983, 0.2500, 0.8960], [0.7017, 0.7500, 0.1040], [0.2055, 0.7500, 0.9270], [0.7945, 0.2500, 0.0730], [0.2537, 0.2500, 0.6103], [0.7463, 0.7500, 0.3897], [0.0696, 0.2500, 0.6928], [0.0736, 0.2500, 0.1016], [0.2216, 0.2500, 0.4868], [0.2443, 0.7500, 0.0807], [0.3273, 0.5770, 0.8703], [0.3273, 0.9230, 0.8703], [0.4682, 0.2500, 0.6684], [0.5318, 0.7500, 0.3316], [0.6727, 0.0770, 0.1297], [0.6727, 0.4230, 0.1297], [0.7557, 0.2500, 0.9193], [0.7784, 0.7500, 0.5132], [0.9264, 0.7500, 0.8984], [0.9304, 0.7500, 0.3072]]
}

No. 6
{
  "formula": "HfTiAg3",
  "functional": "meta-GGA SCAN",
  "state": "single point on PBEsol structure",
  "formation_energy_ev_per_atom": 1.150,
  "space_group": "Pm-3m",
  "magmom_total_mub_per_fu": 0.69,
  "final_energy_ev_per_cell": -167.06,
  "lattice": [[4.7369, 0.0000, 0.0000], [0.0000, 4.7369, 0.0000], [0.0000, 0.0000, 4.7369]],
  "species": ["Hf", "Ti", "Ag", "Ag", "Ag"],
  "fractional_positions": [[0.0000, 0.0000, 0.0000], [0.5000, 0.5000, 0.5000], [0.0000, 0.5000, 0.5000], [0.5000, 0.0000, 0.5000], [0.5000, 0.5000, 0.0000]]
}

No. 7
{
  "formula": "ZnAsBr",
  "functional": "meta-GGA SCAN",
  "state": "single point on PBEsol structure",
  "space_group": "F-43m",
  "magmom_total_mub_per_fu": 0.00,
  "e_form_raw_ev_per_atom": 0.50,
  "final_energy_ev_per_cell": -51.65,
  "lattice": [[0.0000, 3.2156, 3.2156], [3.2156, 0.0000, 3.2156], [3.2156, 3.2156, 0.0000]],
  "species": ["Zn", "As", "Br"],
  "fractional_positions": [[0.0000, 0.0000, 0.0000], [0.2500, 0.2500, 0.2500], [0.7500, 0.7500, 0.7500]]
}

No. 8
{
  "formula": "Ce2ThS3",
  "functional": "meta-GGA SCAN",
  "state": "single point on PBEsol structure",
  "space_group": "P-3m1",
  "magmom_total_mub_per_fu": 1.50,
  "e_form_raw_ev_per_atom": -2.12,
  "final_energy_ev_per_cell": -226.65,
  "lattice": [[3.9763, 0.0000, 0.0000], [-1.9882, 3.4436, 0.0000], [0.0000, 0.0000, 9.6987]],
  "species": ["Ce", "Ce", "Th", "S", "S", "S"],
  "fractional_positions": [[0.3333, 0.6667, 0.1648], [0.6667, 0.3333, 0.8352], [0.0000, 0.0000, 0.5000], [0.0000, 0.0000, 0.0000], [0.3333, 0.6667, 0.6704], [0.6667, 0.3333, 0.3296]]
}